[1]
Here is crystalline CaGa9Fe2 at its relaxed geometry from Alexandria. Energies are from PBE.

Computed properties:
* DOS(E_F): 11.24 states/eV per cell
* SG: I4_1/amd, No. 141
* formation enthalpy at 0 K: -0.128 eV/atom
* calculated total energy: -3.975 eV per atom

Lattice parameters (Å, degrees): 6.711 8.358 8.358 80.72 66.33 66.33
Element x y z (fractional)
Ca  0.500  0.000  0.000
Ca  0.250  0.500  0.500
Ga  0.750  0.500  0.500
Ga  0.000  0.000  0.000
Ga  0.003  0.928  0.685
Ga  0.616  0.072  0.315
Ga  0.681  0.185  0.572
Ga  0.439  0.815  0.428
Ga  0.747  0.815  0.572
Ga  0.134  0.185  0.428
Ga  0.069  0.928  0.315
Ga  0.311  0.072  0.685
Ga  0.747  0.572  0.815
Ga  0.134  0.428  0.185
Ga  0.069  0.315  0.928
Ga  0.311  0.685  0.072
Ga  0.003  0.685  0.928
Ga  0.616  0.315  0.072
Ga  0.681  0.572  0.185
Ga  0.439  0.428  0.815
Fe  0.875  0.250  0.750
Fe  0.875  0.750  0.250
Fe  0.875  0.250  0.250
Fe  0.375  0.750  0.750

[2]
Here is crystalline SrTcBr4 at its relaxed geometry from Alexandria. Energies are from PBE.

Computed properties:
* formation energy without anion corrections: 0.3911 eV per atom
* DOS(E_F): 8.24 states/eV per cell
* SG: F-43m, No. 216
* calculated total energy: -2.732 eV per atom

Lattice parameters (Å, degrees): 6.467 6.467 6.467 60.00 60.00 60.00
Each line ends with the local moment (μB).
Element x y z (fractional)
Sr  0.750  0.750  0.750  0.02
Tc  0.000  0.000  0.000  4.08
Br  0.875  0.375  0.375  0.35
Br  0.375  0.375  0.875  0.35
Br  0.375  0.875  0.375  0.35
Br  0.375  0.375  0.375  0.35

Q: What is the calculated total energy in the first record?
A: -3.975 eV per atom

Q: Which of these has the lowest calculated total energy?
A: CaGa9Fe2